# 1
Density functional theory data (GGA-PBE) for a relaxed BaAlIn3Ir crystal.

Unit cell a=8.388 b=4.458 c=7.954 alpha=90.00 beta=90.00 gamma=90.00
Positions (direct):
Ba: 0.250 0.000 0.099
Ba: 0.750 0.000 0.901
Al: 0.000 0.000 0.500
Al: 0.500 0.000 0.500
In: 0.065 0.500 0.782
In: 0.250 0.500 0.431
In: 0.435 0.500 0.782
In: 0.565 0.500 0.218
In: 0.750 0.500 0.569
In: 0.935 0.500 0.218
Ir: 0.250 0.000 0.657
Ir: 0.750 0.000 0.343

- space group = Pmma
- VASP energy (eV/atom) = -4.241

=====

# 2
Density functional theory data (GGA-PBE) for a relaxed BaAlInPt2 crystal.

Unit cell a=6.579 b=6.579 c=6.579 alpha=140.08 beta=140.08 gamma=57.73
Positions (direct):
Ba: 0.000 0.000 0.000
Al: 0.250 0.750 0.500
In: 0.750 0.250 0.500
Pt: 0.378 0.378 0.000
Pt: 0.622 0.622 0.000

- space group = I-4m2
- VASP energy (eV/atom) = -4.839

=====

# 3
Density functional theory data (GGA-PBE) for a relaxed BaAl3Ir crystal.

Unit cell a=6.867 b=6.867 c=6.867 alpha=124.19 beta=89.39 gamma=116.66
Positions (direct):
Ba: 0.340 0.090 0.250
Ba: 0.660 0.910 0.750
Al: 0.169 0.419 0.750
Al: 0.200 0.000 0.700
Al: 0.200 0.500 0.200
Al: 0.800 0.000 0.300
Al: 0.800 0.500 0.800
Al: 0.831 0.581 0.250
Ir: 0.000 0.500 0.500
Ir: 0.500 0.500 0.000

- space group = Imma
- VASP energy (eV/atom) = -4.962

=====

# 4
Density functional theory data (GGA-PBE) for a relaxed BaMgAl4Pd2 crystal.

Unit cell a=7.470 b=5.487 c=5.487 alpha=46.36 beta=90.00 gamma=90.00
Positions (direct):
Ba: 0.000 0.000 0.000
Mg: 0.500 0.880 0.880
Al: 0.216 0.290 0.290
Al: 0.318 0.600 0.600
Al: 0.682 0.600 0.600
Al: 0.784 0.290 0.290
Pd: 0.000 0.720 0.720
Pd: 0.500 0.152 0.152

- space group = Amm2
- VASP energy (eV/atom) = -4.050